Entry 1:
An optimized crystal structure of Tb4CeTm2, computed with PBE.

Cell lengths 3.5577, 3.5615, 20.0623 Å; angles 95.26, 90.00, 119.96 degrees
Each line ends with the local moment (μB).
Positions (direct):
Tm1 0.6219 0.2437 0.0966  -0.06
Tm2 0.7120 0.4241 0.3799  -0.01
Tb1 0.9061 0.8122 0.9554  -0.04
Tb2 0.4294 0.8589 0.5215  0.02
Tb3 0.9984 0.9968 0.2375  0.00
Tb4 0.5260 0.0520 0.8110  0.02
Ce1 0.8075 0.6151 0.6661  0.73

Offset from the most stable computed form: 0 meV/atom
Symmetry: Cm (8)

---

Entry 2:
An optimized crystal structure of NbV2P, computed with PBE.

Cell lengths 3.1691, 3.9623, 9.2529 Å; angles 90.00, 99.86, 90.00 degrees
Positions (direct):
Nb1 0.3849 0.2500 0.7697
Nb2 0.6151 0.7500 0.2303
V1 0.7540 0.2500 0.5080
V2 0.2460 0.7500 0.4920
V3 0.0224 0.2500 0.0447
V4 0.9776 0.7500 0.9553
P1 0.1557 0.2500 0.3113
P2 0.8443 0.7500 0.6887

Symmetry: Cmcm (63)

---

Number 1: calculated formation energy 0.040 eV/atom. Number 2: calculated formation energy -0.466 eV/atom.